Entry 1:
DFT (PBE) results for a geometry-optimized NaBe2TlF8 structure.

Structure (POSCAR):
```
NaBe2TlF8
1.0
4.102 -2.761 0.000
4.102 2.761 0.000
-0.061 0.000 7.381
Na Be Tl F
1 2 1 8
Direct
0.000 0.000 0.000 Na
0.359 0.359 0.262 Be
0.641 0.641 0.738 Be
0.000 0.000 0.500 Tl
0.235 0.709 0.275 F
0.258 0.258 0.095 F
0.262 0.262 0.450 F
0.291 0.765 0.725 F
0.709 0.235 0.275 F
0.738 0.738 0.550 F
0.742 0.742 0.905 F
0.765 0.291 0.725 F
```

***

Entry 2:
DFT (PBE) results for a geometry-optimized NaBe2TlF6 structure.

Structure (POSCAR):
```
NaBe2TlF6
1.0
5.130 -5.175 0.000
5.130 5.175 0.000
-0.890 0.000 5.181
Na Be Tl F
2 4 2 12
Direct
0.104 0.896 0.750 Na
0.896 0.104 0.250 Na
0.197 0.359 0.702 Be
0.359 0.197 0.202 Be
0.641 0.803 0.798 Be
0.803 0.641 0.298 Be
0.308 0.692 0.250 Tl
0.692 0.308 0.750 Tl
0.049 0.203 0.652 F
0.136 0.558 0.748 F
0.203 0.049 0.152 F
0.320 0.336 0.460 F
0.336 0.320 0.960 F
0.442 0.864 0.752 F
0.558 0.136 0.248 F
0.664 0.680 0.040 F
0.680 0.664 0.540 F
0.797 0.951 0.848 F
0.864 0.442 0.252 F
0.951 0.797 0.348 F
```

***

Entry 3:
DFT (PBE) results for a geometry-optimized Na2Be2TlF7 structure.

Structure (POSCAR):
```
Na2Be2TlF7
1.0
2.853 1.647 7.745
-2.853 1.647 7.745
0.000 -3.294 7.745
Na Be Tl F
2 2 1 7
Direct
0.235 0.235 0.235 Na
0.765 0.765 0.765 Na
0.431 0.431 0.431 Be
0.569 0.569 0.569 Be
0.000 0.000 0.000 Tl
0.148 0.418 0.668 F
0.332 0.582 0.852 F
0.418 0.668 0.148 F
0.500 0.500 0.500 F
0.582 0.852 0.332 F
0.668 0.148 0.418 F
0.852 0.332 0.582 F
```

***

Entry 4:
DFT (PBE) results for a geometry-optimized Na3BeTl3F8 structure.

Structure (POSCAR):
```
Na3BeTl3F8
1.0
5.840 -3.370 0.000
5.840 3.370 0.000
-3.900 0.000 6.292
Na Be Tl F
3 1 3 8
Direct
0.000 0.000 0.000 Na
0.000 0.500 0.000 Na
0.500 0.000 0.000 Na
0.500 0.500 0.000 Be
0.000 0.500 0.500 Tl
0.500 0.000 0.500 Tl
0.500 0.500 0.500 Tl
0.230 0.230 0.191 F
0.293 0.686 0.164 F
0.314 0.314 0.836 F
0.314 0.707 0.836 F
0.686 0.293 0.164 F
0.686 0.686 0.164 F
0.707 0.314 0.836 F
0.770 0.770 0.809 F
```

***

Entry 5:
DFT (PBE) results for a geometry-optimized NaBeTlF6 structure.

Structure (POSCAR):
```
NaBeTlF6
1.0
5.330 0.000 0.000
-2.665 4.616 0.000
0.000 0.000 9.491
Na Be Tl F
2 2 2 12
Direct
0.000 0.000 0.000 Na
0.000 0.000 0.500 Na
0.333 0.667 0.250 Be
0.667 0.333 0.750 Be
0.333 0.667 0.750 Tl
0.667 0.333 0.250 Tl
0.058 0.393 0.141 F
0.058 0.665 0.359 F
0.335 0.393 0.359 F
0.335 0.942 0.141 F
0.393 0.058 0.641 F
0.393 0.335 0.859 F
0.607 0.665 0.141 F
0.607 0.942 0.359 F
0.665 0.058 0.859 F
0.665 0.607 0.641 F
0.942 0.335 0.641 F
0.942 0.607 0.859 F
```

***

Entry 6:
DFT (PBE) results for a geometry-optimized NaTmBe2F8 structure.

Structure (POSCAR):
```
NaTmBe2F8
1.0
4.150 -2.758 0.000
4.150 2.758 0.000
-0.176 0.000 7.358
Na Tm Be F
1 1 2 8
Direct
0.000 0.000 0.000 Na
0.000 0.000 0.500 Tm
0.356 0.356 0.260 Be
0.644 0.644 0.740 Be
0.229 0.703 0.284 F
0.250 0.250 0.439 F
0.259 0.259 0.089 F
0.297 0.771 0.716 F
0.703 0.229 0.284 F
0.741 0.741 0.911 F
0.750 0.750 0.561 F
0.771 0.297 0.716 F
```

***

| no. | formation energy from raw total energies (kJ per mole of atoms) |
| --- | --- |
| 1 | -258.9 |
| 2 | -279.3 |
| 3 | -274.0 |
| 4 | -224.1 |
| 5 | -233.3 |
| 6 | -334.3 |